Record 1
# Pr8NiPt2

Pr8NiPt2 after structural relaxation (GGA-PBE, the Alexandria database).

## Properties
For the energy above the lowest structure with this stoichiometry, the calculation gives 73 meV/atom. Its space-group type is Cm, No. 8. For the calculated formation energy, the calculation gives -0.354 eV/atom. The value obtained for the calculated total energy is -59.99 eV for the cell shown.

Structure (CIF):
```
data_Pr8NiPt2
_symmetry_space_group_name_H-M 'P 1'
_symmetry_Int_Tables_number 1
_symmetry_space_group_name_Hall 'P 1'
_cell_length_a 6.604
_cell_length_b 7.653
_cell_length_c 7.653
_cell_angle_alpha 107.65
_cell_angle_beta 102.35
_cell_angle_gamma 102.35
loop_
_atom_site_label
_atom_site_fract_x
_atom_site_fract_y
_atom_site_fract_z
Pr1 0.966 0.169 0.830
Pr2 0.611 0.086 0.357
Ni1 0.241 0.014 0.014
Pr3 0.783 0.639 0.639
Pt1 0.487 0.322 0.688
Pr4 0.332 0.921 0.644
Pr5 0.966 0.830 0.169
Pr6 0.332 0.644 0.921
Pr7 0.611 0.357 0.086
Pt2 0.487 0.688 0.322
Pr8 0.185 0.364 0.364
```

---

Record 2
# PrNiPt3

PrNiPt3 after structural relaxation (GGA-PBE, the Alexandria database).

## Properties
Its space-group type is Cmcm, No. 63. For the calculated formation energy, the calculation gives -0.002 eV/atom. The value obtained for the calculated total energy is -57.39 eV for the cell shown.

Structure (CIF):
```
data_PrNiPt3
_symmetry_space_group_name_H-M 'P 1'
_symmetry_Int_Tables_number 1
_symmetry_space_group_name_Hall 'P 1'
_cell_length_a 4.850
_cell_length_b 7.269
_cell_length_c 7.269
_cell_angle_alpha 120.71
_cell_angle_beta 90.00
_cell_angle_gamma 90.00
loop_
_atom_site_label
_atom_site_fract_x
_atom_site_fract_y
_atom_site_fract_z
Pt1 0.500 0.000 0.000
Pt2 0.750 0.070 0.580
Pt3 0.250 0.930 0.420
Pr1 0.250 0.387 0.613
Ni1 0.250 0.174 0.826
Pt4 0.250 0.580 0.070
Ni2 0.750 0.826 0.174
Pt5 0.750 0.420 0.930
Pr2 0.750 0.613 0.387
Pt6 0.000 0.000 0.000
```